Record 1
# La2AlAu3 PBE optimized geometry
data_La2AlAu3
_cell_length_a 3.778
_cell_length_b 4.673
_cell_length_c 8.261
_cell_angle_alpha 90.00
_cell_angle_beta 90.00
_cell_angle_gamma 90.00
_symmetry_space_group_name_H-M 'P 1'
_symmetry_Int_Tables_number 1
loop_
_symmetry_equiv_pos_as_xyz
'x,y,z'
loop_
_atom_site_label
_atom_site_type_symbol
_atom_site_fract_x
_atom_site_fract_y
_atom_site_fract_z
_atom_site_occupancy
Au1 Au 0.500 0.000 0.843 1
Au2 Au 0.500 0.500 0.643 1
Au3 Au 0.500 0.000 0.187 1
La1 La 0.000 0.500 0.990 1
La2 La 0.000 0.000 0.512 1
Al1 Al 0.500 0.500 0.325 1
# Crystal system: orthorhombic
# Offset from the most stable computed form (kJ per mole of atoms): 0.0
# Space group: Pmm2 (25)

Record 2
# Zn2GaMo PBE optimized geometry
data_Zn2GaMo
_cell_length_a 7.031
_cell_length_b 7.031
_cell_length_c 5.614
_cell_angle_alpha 51.23
_cell_angle_beta 51.23
_cell_angle_gamma 90.00
_symmetry_space_group_name_H-M 'P 1'
_symmetry_Int_Tables_number 1
loop_
_symmetry_equiv_pos_as_xyz
'x,y,z'
loop_
_atom_site_label
_atom_site_type_symbol
_atom_site_fract_x
_atom_site_fract_y
_atom_site_fract_z
_atom_site_occupancy
Zn1 Zn 0.140 0.625 0.250 1
Zn2 Zn 0.375 0.390 0.750 1
Zn3 Zn 0.610 0.125 0.250 1
Zn4 Zn 0.875 0.860 0.750 1
Mo1 Mo 0.750 0.250 0.500 1
Mo2 Mo 0.000 0.000 0.000 1
Ga1 Ga 0.250 0.750 0.500 1
Ga2 Ga 0.500 0.500 0.000 1
# Crystal system: tetragonal
# Total energy (Ry/atom): -0.27725
# Space group: I-42d (122)

Record 3
# GeRh2Se PBE optimized geometry
data_GeRh2Se
_cell_length_a 4.422
_cell_length_b 4.422
_cell_length_c 4.422
_cell_angle_alpha 60.00
_cell_angle_beta 60.00
_cell_angle_gamma 60.00
_symmetry_space_group_name_H-M 'P 1'
_symmetry_Int_Tables_number 1
loop_
_symmetry_equiv_pos_as_xyz
'x,y,z'
loop_
_atom_site_label
_atom_site_type_symbol
_atom_site_fract_x
_atom_site_fract_y
_atom_site_fract_z
_atom_site_occupancy
Rh1 Rh 0.250 0.250 0.250 1
Rh2 Rh 0.750 0.750 0.750 1
Se1 Se 0.500 0.500 0.500 1
Ge1 Ge 0.000 0.000 0.000 1
# Crystal system: cubic
# E_form (uncorrected) (eV per atom): -0.0703
# Offset from the most stable computed form (kJ per mole of atoms): 2.2
# Space group: Fm-3m (225)

Record 4
# Hf4BiAs PBE optimized geometry
data_Hf4BiAs
_cell_length_a 7.496
_cell_length_b 7.496
_cell_length_c 7.496
_cell_angle_alpha 107.16
_cell_angle_beta 107.16
_cell_angle_gamma 114.19
_symmetry_space_group_name_H-M 'P 1'
_symmetry_Int_Tables_number 1
loop_
_symmetry_equiv_pos_as_xyz
'x,y,z'
loop_
_atom_site_label
_atom_site_type_symbol
_atom_site_fract_x
_atom_site_fract_y
_atom_site_fract_z
_atom_site_occupancy
As1 As 0.527 0.027 0.500 1
As2 As 0.777 0.777 0.000 1
Hf1 Hf 0.286 0.970 0.684 1
Hf2 Hf 0.720 0.536 0.184 1
Hf3 Hf 0.711 0.435 0.724 1
Hf4 Hf 0.711 0.987 0.276 1
Hf5 Hf 0.352 0.536 0.816 1
Hf6 Hf 0.737 0.961 0.776 1
Hf7 Hf 0.286 0.602 0.316 1
Hf8 Hf 0.185 0.961 0.224 1
Bi1 Bi 0.230 0.230 0.000 1
Bi2 Bi 0.980 0.480 0.500 1
# Crystal system: tetragonal
# Total energy (Ry/atom): -0.57418
# Space group: I4_1md (109)

Record 5
# K2Cd2Ag PBE optimized geometry
data_K2Cd2Ag
_cell_length_a 9.317
_cell_length_b 9.317
_cell_length_c 4.625
_cell_angle_alpha 90.00
_cell_angle_beta 90.00
_cell_angle_gamma 90.00
_symmetry_space_group_name_H-M 'P 1'
_symmetry_Int_Tables_number 1
loop_
_symmetry_equiv_pos_as_xyz
'x,y,z'
loop_
_atom_site_label
_atom_site_type_symbol
_atom_site_fract_x
_atom_site_fract_y
_atom_site_fract_z
_atom_site_occupancy
Ag1 Ag 0.000 0.000 0.000 1
Ag2 Ag 0.500 0.500 0.000 1
K1 K 0.679 0.179 0.000 1
K2 K 0.179 0.321 0.000 1
K3 K 0.821 0.679 0.000 1
K4 K 0.321 0.821 0.000 1
Cd1 Cd 0.118 0.618 0.500 1
Cd2 Cd 0.882 0.382 0.500 1
Cd3 Cd 0.382 0.118 0.500 1
Cd4 Cd 0.618 0.882 0.500 1
# Crystal system: tetragonal
# Offset from the most stable computed form (kJ per mole of atoms): 25.6
# Space group: P4/mbm (127)

Record 6
# RbBeSe2 PBE optimized geometry
data_RbBeSe2
_cell_length_a 5.244
_cell_length_b 5.244
_cell_length_c 5.244
_cell_angle_alpha 74.49
_cell_angle_beta 74.49
_cell_angle_gamma 74.49
_symmetry_space_group_name_H-M 'P 1'
_symmetry_Int_Tables_number 1
loop_
_symmetry_equiv_pos_as_xyz
'x,y,z'
loop_
_atom_site_label
_atom_site_type_symbol
_atom_site_fract_x
_atom_site_fract_y
_atom_site_fract_z
_atom_site_occupancy
Se1 Se 0.178 0.178 0.178 1
Se2 Se 0.822 0.822 0.822 1
Rb1 Rb 0.500 0.500 0.500 1
Be1 Be 0.000 0.000 0.000 1
# Crystal system: trigonal
# E_form (uncorrected) (eV per atom): -0.4671
# Space group: R-3m (166)

Record 7
# InAg2Pb PBE optimized geometry
data_InAg2Pb
_cell_length_a 3.394
_cell_length_b 3.394
_cell_length_c 8.111
_cell_angle_alpha 90.00
_cell_angle_beta 90.00
_cell_angle_gamma 89.99
_symmetry_space_group_name_H-M 'P 1'
_symmetry_Int_Tables_number 1
loop_
_symmetry_equiv_pos_as_xyz
'x,y,z'
loop_
_atom_site_label
_atom_site_type_symbol
_atom_site_fract_x
_atom_site_fract_y
_atom_site_fract_z
_atom_site_occupancy
Ag1 Ag 0.000 0.000 0.032 1
Ag2 Ag 0.500 0.500 0.232 1
Pb1 Pb 0.500 0.500 0.781 1
In1 In 0.000 0.000 0.455 1
# Crystal system: tetragonal
# Total energy (Ry/atom): -0.21920
# Space group: P4mm (99)

Record 8
# ZnBiB2 PBE optimized geometry
data_ZnBiB2
_cell_length_a 4.451
_cell_length_b 4.451
_cell_length_c 4.451
_cell_angle_alpha 60.00
_cell_angle_beta 60.00
_cell_angle_gamma 60.00
_symmetry_space_group_name_H-M 'P 1'
_symmetry_Int_Tables_number 1
loop_
_symmetry_equiv_pos_as_xyz
'x,y,z'
loop_
_atom_site_label
_atom_site_type_symbol
_atom_site_fract_x
_atom_site_fract_y
_atom_site_fract_z
_atom_site_occupancy
Zn1 Zn 0.000 0.000 0.000 1
B1 B 0.250 0.250 0.250 1
B2 B 0.750 0.750 0.750 1
Bi1 Bi 0.500 0.500 0.500 1
# Crystal system: cubic
# Offset from the most stable computed form (kJ per mole of atoms): 49.4
# Space group: Fm-3m (225)

Record 9
# LiNi3As3 PBE optimized geometry
data_LiNi3As3
_cell_length_a 6.614
_cell_length_b 6.614
_cell_length_c 7.378
_cell_angle_alpha 63.37
_cell_angle_beta 63.37
_cell_angle_gamma 60.00
_symmetry_space_group_name_H-M 'P 1'
_symmetry_Int_Tables_number 1
loop_
_symmetry_equiv_pos_as_xyz
'x,y,z'
loop_
_atom_site_label
_atom_site_type_symbol
_atom_site_fract_x
_atom_site_fract_y
_atom_site_fract_z
_atom_site_occupancy
As1 As 0.913 0.236 0.260 1
As2 As 0.408 0.087 0.740 1
As3 As 0.087 0.764 0.740 1
As4 As 0.592 0.913 0.260 1
As5 As 0.764 0.408 0.740 1
As6 As 0.236 0.592 0.260 1
Ni1 Ni 0.466 0.783 0.626 1
Ni2 Ni 0.124 0.466 0.626 1
Ni3 Ni 0.217 0.876 0.374 1
Ni4 Ni 0.783 0.124 0.626 1
Ni5 Ni 0.876 0.534 0.374 1
Ni6 Ni 0.534 0.217 0.374 1
Li1 Li 0.333 0.333 0.002 1
Li2 Li 0.667 0.667 0.998 1
# Crystal system: trigonal
# Total energy (Ry/atom): -0.36919
# Space group: R-3 (148)

Record 10
# La5Nd3Dy PBE optimized geometry
data_La5Nd3Dy
_cell_length_a 9.112
_cell_length_b 9.112
_cell_length_c 10.135
_cell_angle_alpha 116.71
_cell_angle_beta 116.71
_cell_angle_gamma 90.00
_symmetry_space_group_name_H-M 'P 1'
_symmetry_Int_Tables_number 1
loop_
_symmetry_equiv_pos_as_xyz
'x,y,z'
loop_
_atom_site_label
_atom_site_type_symbol
_atom_site_fract_x
_atom_site_fract_y
_atom_site_fract_z
_atom_site_occupancy
La1 La 0.348 0.848 0.279 1
La2 La 0.432 0.348 0.279 1
La3 La 0.932 0.432 0.279 1
La4 La 0.152 0.068 0.721 1
La5 La 0.000 0.000 0.000 1
La6 La 0.652 0.152 0.721 1
La7 La 0.848 0.932 0.279 1
La8 La 0.568 0.652 0.721 1
La9 La 0.500 0.500 0.000 1
La10 La 0.068 0.568 0.721 1
Nd1 Nd 0.116 0.384 0.000 1
Nd2 Nd 0.616 0.116 0.000 1
Nd3 Nd 0.384 0.884 0.000 1
Nd4 Nd 0.250 0.250 0.500 1
Nd5 Nd 0.884 0.616 0.000 1
Nd6 Nd 0.750 0.750 0.500 1
Dy1 Dy 0.750 0.250 0.500 1
Dy2 Dy 0.250 0.750 0.500 1
# Crystal system: tetragonal
# Total energy (Ry/atom): -0.33660
# Space group: I4/mcm (140)

Record 11
# V2CdB2 PBE optimized geometry
data_V2CdB2
_cell_length_a 5.954
_cell_length_b 5.954
_cell_length_c 3.173
_cell_angle_alpha 90.00
_cell_angle_beta 90.00
_cell_angle_gamma 90.00
_symmetry_space_group_name_H-M 'P 1'
_symmetry_Int_Tables_number 1
loop_
_symmetry_equiv_pos_as_xyz
'x,y,z'
loop_
_atom_site_label
_atom_site_type_symbol
_atom_site_fract_x
_atom_site_fract_y
_atom_site_fract_z
_atom_site_occupancy
V1 V 0.336 0.164 0.500 1
V2 V 0.164 0.664 0.500 1
V3 V 0.664 0.836 0.500 1
V4 V 0.836 0.336 0.500 1
B1 B 0.899 0.601 0.000 1
B2 B 0.101 0.399 0.000 1
B3 B 0.399 0.899 0.000 1
B4 B 0.601 0.101 0.000 1
Cd1 Cd 0.000 0.000 0.000 1
Cd2 Cd 0.500 0.500 0.000 1
# Crystal system: tetragonal
# Offset from the most stable computed form (kJ per mole of atoms): 0.0
# Space group: P4/mbm (127)

Record 12
# InMoPt2 PBE optimized geometry
data_InMoPt2
_cell_length_a 2.903
_cell_length_b 2.903
_cell_length_c 7.984
_cell_angle_alpha 90.00
_cell_angle_beta 90.00
_cell_angle_gamma 90.00
_symmetry_space_group_name_H-M 'P 1'
_symmetry_Int_Tables_number 1
loop_
_symmetry_equiv_pos_as_xyz
'x,y,z'
loop_
_atom_site_label
_atom_site_type_symbol
_atom_site_fract_x
_atom_site_fract_y
_atom_site_fract_z
_atom_site_occupancy
In1 In 0.000 0.000 0.497 1
Mo1 Mo 0.500 0.500 0.768 1
Pt1 Pt 0.500 0.500 0.247 1
Pt2 Pt 0.000 0.000 0.988 1
# Crystal system: tetragonal
# Total energy (Ry/atom): -0.48117
# Space group: P4mm (99)

Computed magnetization, in the same sequence as the records: 0.00, 0.00, 0.00, 0.00, 0.00, 0.00, 0.00, 0.00, 0.00, 0.00, 0.00, 0.00 μB per formula unit.